Material: Lu2ScSn
Method: DFT, PBE
State: optimized geometry

Calculated values
Electronic total energy ... -5.223 eV per atom
Calculated formation energy ... -0.38 eV/atom
Symmetry ... No. 123
ΔE to the lowest computed polymorph ... 0.000 eV/atom

Lattice parameters (Å, degrees): 4.6631 4.6631 4.6294 90.00 90.00 90.00
Atoms (fractional coordinates):
Lu 0.0000 0.5000 0.0000
Lu 0.5000 0.0000 0.0000
Sc 0.0000 0.0000 0.5000
Sn 0.5000 0.5000 0.5000